Compound: RbTh2F9
Source: Alexandria
Functional: meta-GGA SCAN
Structure: PBEsol geometry

abc: 7.1401 8.8349 11.8314
angles: 90.00 90.00 90.00
Sites, in units of the cell vectors:
F 0.4690 0.7883 0.4061
F 0.9255 0.0069 0.0969
Th 0.3489 0.3249 0.0514
F 0.3051 0.0638 0.0788
F 0.1473 0.2798 0.6046
F 0.3398 0.3240 0.2500
F 0.0745 0.9931 0.5969
Th 0.6511 0.6751 0.5514
F 0.8398 0.1760 0.7500
F 0.8527 0.7202 0.1046
F 0.1602 0.8240 0.2500
Rb 0.6386 0.9673 0.2500
Th 0.6511 0.6751 0.9486
F 0.3051 0.0638 0.4212
F 0.0745 0.9931 0.9031
F 0.1949 0.5638 0.0788
F 0.3527 0.7798 0.8954
F 0.0310 0.2883 0.0939
F 0.5745 0.5069 0.4031
F 0.5310 0.2117 0.5939
F 0.6949 0.9362 0.5788
F 0.9255 0.0069 0.4031
F 0.6949 0.9362 0.9212
F 0.8051 0.4362 0.9212
F 0.3527 0.7798 0.6046
F 0.5310 0.2117 0.9061
F 0.4255 0.4931 0.5969
Th 0.8489 0.1751 0.5514
Rb 0.3614 0.0327 0.7500
Th 0.1511 0.8249 0.0514
F 0.6602 0.6760 0.7500
F 0.8527 0.7202 0.3954
Rb 0.1386 0.5327 0.7500
F 0.6473 0.2202 0.1046
F 0.8051 0.4362 0.5788
F 0.4255 0.4931 0.9031
Rb 0.8614 0.4673 0.2500
F 0.4690 0.7883 0.0939
F 0.1949 0.5638 0.4212
F 0.9690 0.7117 0.9061
Th 0.3489 0.3249 0.4486
F 0.9690 0.7117 0.5939
F 0.6473 0.2202 0.3954
Th 0.8489 0.1751 0.9486
F 0.0310 0.2883 0.4061
Th 0.1511 0.8249 0.4486
F 0.1473 0.2798 0.8954
F 0.5745 0.5069 0.0969

Properties
For the total magnetization, the calculation gives 0.00 μB/cell. The calculation puts the total energy at -24.559 eV/atom. Its density is 6.41 g/cm3. The calculation puts the density of states at the Fermi level at 0.000 states/eV/atom.

***

Compound: TlGa2Pt
Source: Alexandria
Functional: meta-GGA SCAN
Structure: PBEsol geometry

abc: 4.6887 4.6887 4.6887
angles: 60.00 60.00 60.00
Sites, in units of the cell vectors:
Ga 0.7500 0.7500 0.7500
Ga 0.2500 0.2500 0.2500
Pt 0.0000 0.0000 0.0000
Tl 0.5000 0.5000 0.5000

Properties
For the total magnetization, the calculation gives 0.00 μB/cell. Its energy of formation is 0.134 eV per atom. The calculation puts the total energy at -43.677 eV/atom. Its density is 12.28 g/cm3. The calculation puts the density of states at the Fermi level at 0.468 states/eV/atom.